(1)
Below is a crystal of Ca2RePt relaxed with PBEsol, with properties calculated at the SCAN level.

Geometry as CIF:
```
data_Ca2RePt
_chemical_formula_sum 'Ca2 Re1 Pt1'
_symmetry_space_group_name_H-M 'P 1'
_symmetry_Int_Tables_number 1
_cell_length_a 2.8962
_cell_length_b 5.1009
_cell_length_c 6.3463
_cell_angle_alpha 113.70
_cell_angle_beta 103.19
_cell_angle_gamma 90.00
loop_
_symmetry_equiv_pos_as_xyz
'x,y,z'
loop_
_atom_site_label
_atom_site_fract_x
_atom_site_fract_y
_atom_site_fract_z
_atom_site_occupancy
Re1 0.2152 0.7152 0.4304 1
Ca1 0.9788 0.9788 0.9576 1
Ca2 0.7824 0.2824 0.5649 1
Pt1 0.5235 0.5235 0.0471 1
```

Summary:
Formation enthalpy at 0 K ... 0.097 eV per atom

***

(2)
Below is a crystal of CaReRu2Pt relaxed with PBEsol, with properties calculated at the SCAN level.

Geometry as CIF:
```
data_CaReRu2Pt
_chemical_formula_sum 'Ca1 Re1 Ru2 Pt1'
_symmetry_space_group_name_H-M 'P 1'
_symmetry_Int_Tables_number 1
_cell_length_a 4.5461
_cell_length_b 4.5461
_cell_length_c 5.1785
_cell_angle_alpha 90.00
_cell_angle_beta 90.00
_cell_angle_gamma 90.00
loop_
_symmetry_equiv_pos_as_xyz
'x,y,z'
loop_
_atom_site_label
_atom_site_fract_x
_atom_site_fract_y
_atom_site_fract_z
_atom_site_occupancy
Re1 0.0000 0.0000 0.0000 1
Ca1 0.0000 0.0000 0.5000 1
Pt1 0.5000 0.5000 0.5000 1
Ru1 0.0000 0.5000 0.0000 1
Ru2 0.5000 0.0000 0.0000 1
```

Summary:
Formation enthalpy at 0 K ... 1.393 eV per atom

***

(3)
Below is a crystal of CaPtRh2 relaxed with PBEsol, with properties calculated at the SCAN level.

Geometry as CIF:
```
data_CaPtRh2
_chemical_formula_sum 'Ca1 Pt1 Rh2'
_symmetry_space_group_name_H-M 'P 1'
_symmetry_Int_Tables_number 1
_cell_length_a 3.9866
_cell_length_b 3.9866
_cell_length_c 4.8820
_cell_angle_alpha 114.10
_cell_angle_beta 114.10
_cell_angle_gamma 90.00
loop_
_symmetry_equiv_pos_as_xyz
'x,y,z'
loop_
_atom_site_label
_atom_site_fract_x
_atom_site_fract_y
_atom_site_fract_z
_atom_site_occupancy
Ca1 0.5000 0.5000 0.0000 1
Pt1 0.2500 0.7500 0.5000 1
Rh1 0.0000 0.0000 0.0000 1
Rh2 0.7500 0.2500 0.5000 1
```

Summary:
Offset from the most stable computed form ... 0.000 eV per atom
Formation enthalpy at 0 K ... -0.207 eV per atom